#A
Computed, not measured: a geometry-optimized TlIrBr6 structure at the PBE level of DFT.

Density = 5.607 g/cm³
Space group = No. 12
DOS at the Fermi energy = 0.5397 states/eV/atom
V = 259 Å³/cell

```
TlIrBr6
1.0
6.739 -0.435 -0.267
-2.911 6.094 -0.267
-0.961 -1.421 6.652
Br Tl Ir
6 1 1
Direct
0.268 0.268 0.720
0.566 0.869 0.722
0.732 0.732 0.280
0.434 0.131 0.278
0.869 0.566 0.722
0.131 0.434 0.278
0.000 0.000 0.000
0.500 0.500 0.500
```

#B
Computed, not measured: a geometry-optimized TlIrBr6 structure at the PBE level of DFT.

Density = 4.626 g/cm³
Space group = No. 12
V = 314 Å³/cell

```
TlIrBr6
1.0
-3.498 0.732 5.984
0.345 -6.920 -0.752
6.700 1.831 1.742
Br Tl Ir
6 1 1
Direct
0.248 0.248 0.903
0.719 0.037 0.733
0.752 0.752 0.097
0.281 0.963 0.267
0.963 0.281 0.267
0.037 0.719 0.733
0.000 0.000 0.500
0.000 0.000 0.000
```

Quick one: least stable of them? #A

#A
Computed, not measured: a geometry-optimized Tl3IrBr structure at the PBE level of DFT.

Density = 9.640 g/cm³
Space group = No. 221
DOS at the Fermi energy = 0.3517 states/eV/atom
V = 152 Å³/cell

```
Tl3IrBr
1.0
5.343 0.000 0.000
0.000 5.343 0.000
0.000 0.000 5.343
Tl Br Ir
3 1 1
Direct
0.000 0.500 0.000
0.000 0.000 0.500
0.500 0.000 0.000
0.500 0.500 0.500
0.000 0.000 0.000
```

#B
Computed, not measured: a geometry-optimized Tl3IrBr structure at the PBE level of DFT.

Density = 6.886 g/cm³
Space group = No. 221
DOS at the Fermi energy = 0.7922 states/eV/atom
V = 213 Å³/cell

```
Tl3IrBr
1.0
5.976 0.000 0.000
0.000 5.976 0.000
0.000 0.000 5.976
Tl Br Ir
3 1 1
Direct
0.500 0.000 0.000
0.000 0.500 0.000
0.000 0.000 0.500
0.000 0.000 0.000
0.500 0.500 0.500
```

Quick one: least stable of them? #B

#A
Computed, not measured: a geometry-optimized TlIr3Br structure at the PBE level of DFT.

Density = 10.909 g/cm³
Space group = No. 221
DOS at the Fermi energy = 1.5350 states/eV/atom
V = 131 Å³/cell

```
TlIr3Br
1.0
5.079 0.000 0.000
0.000 5.079 0.000
0.000 0.000 5.079
Ir Tl Br
3 1 1
Direct
0.500 0.000 0.000
0.000 0.000 0.500
0.000 0.500 0.000
0.000 0.000 0.000
0.500 0.500 0.500
```

#B
Computed, not measured: a geometry-optimized TlIr3Br structure at the PBE level of DFT.

Density = 13.756 g/cm³
Space group = No. 221
DOS at the Fermi energy = 1.6365 states/eV/atom
V = 104 Å³/cell

```
TlIr3Br
1.0
4.702 0.000 0.000
0.000 4.702 0.000
0.000 0.000 4.702
Tl Ir Br
1 3 1
Direct
0.500 0.500 0.500
0.500 0.000 0.000
0.000 0.500 0.000
0.000 0.000 0.500
0.000 0.000 0.000
```

Quick one: least stable of them? #A